## Be2GeH (PBE-GGA)

Data for a relaxed structure of Be2GeH.

Cell lengths 2.782, 4.133, 4.162 Å; angles 84.57, 73.56, 77.59 degrees
Space group P1 (No. 1)
Inequivalent atoms, fractional coordinates:
Be 0.000 0.000 0.000 x1
Be 0.039 0.378 0.295 x1
Ge 0.314 0.813 0.473 x1
H 0.977 0.353 0.965 x1

Output
Relative energy among the computed polymorphs: 0.040 eV per atom

---

## CoAgAs2 (PBE-GGA)

Data for a relaxed structure of CoAgAs2.

Cell lengths 3.732, 4.821, 7.483 Å; angles 90.00, 90.00, 90.00 degrees
Space group Immm (No. 71)
Inequivalent atoms, fractional coordinates:
Co 0.000 0.000 0.000 x2
Ag 0.000 0.000 0.500 x2
As 0.000 0.500 0.298 x4

Output
Relative energy among the computed polymorphs: 0.261 eV per atom